#a
DFT (PBE) results for an optimized crystal structure of TaNbSn.

The space group is Pnma (No. 62) and the conventional cell measures 5.619, 4.676 and 8.926 Å, with angles of 90.00, 90.00 and 90.00 degrees. The distinct sites, in fractional coordinates, are Ta at (0.008, 0.250, 0.239), Nb at (0.229, 0.750, 0.049) and Sn at (0.234, 0.750, 0.377).

Its total moment is 0.00 μB per formula unit.

#b
DFT (PBE) results for an optimized crystal structure of TaNbSn.

The space group is I4mm (No. 107) and the conventional cell measures 3.558, 3.558 and 9.156 Å, with angles of 90.00, 90.00 and 90.00 degrees. The distinct sites, in fractional coordinates, are Ta at (0.000, 0.000, 0.000), Nb at (0.000, 0.000, 0.652) and Sn at (0.000, 0.000, 0.325).

Its total moment is 0.00 μB per formula unit.

#c
DFT (PBE) results for an optimized crystal structure of TaNbSn.

The space group is P3m1 (No. 156) and the conventional cell measures 4.7638, 4.7638 and 2.9576 Å, with angles of 90.00, 90.00 and 120.00 degrees. The distinct sites, in fractional coordinates, are Ta at (0.0000, 0.0000, 0.0000), Nb at (0.6667, 0.3333, 0.7150) and Sn at (0.3333, 0.6667, 0.3506).

Its total moment is 0.00 μB per formula unit.

#d
DFT (PBE) results for an optimized crystal structure of TaNbSn.

The space group is Cmcm (No. 63) and the conventional cell measures 2.917, 17.293 and 4.624 Å, with angles of 90.00, 90.00 and 90.00 degrees. The distinct sites, in fractional coordinates, are Ta at (0.000, 0.208, 0.250), Nb at (0.000, 0.042, 0.250) and Sn at (0.000, 0.378, 0.250).

Its total moment is 0.00 μB per formula unit.

Which structure wins on stability? #b wins.

#a
DFT (PBE) results for an optimized crystal structure of Ta4Nb2Sn.

The space group is Cmmm (No. 65) and the conventional cell measures 3.609, 22.210 and 3.345 Å, with angles of 90.00, 90.00 and 90.00 degrees. The distinct sites, in fractional coordinates, are Ta at (0.000, 0.072, 0.000), Ta at (0.000, 0.360, 0.500), Nb at (0.000, 0.205, 0.000) and Sn at (0.000, 0.500, 0.500).

Its total moment is 0.00 μB per formula unit.

#b
DFT (PBE) results for an optimized crystal structure of Ta4Nb2Sn.

The space group is Cmmm (No. 65) and the conventional cell measures 3.195, 18.666 and 4.641 Å, with angles of 90.00, 90.00 and 90.00 degrees. The distinct sites, in fractional coordinates, are Ta at (0.000, 0.178, 0.000), Ta at (0.000, 0.311, 0.500), Nb at (0.000, 0.071, 0.500) and Sn at (0.000, 0.500, 0.000).

Its total moment is 0.00 μB per formula unit.

Which structure wins on stability? #a wins.

#a
DFT (PBE) results for an optimized crystal structure of TaNb3Sn.

The space group is C2/c (No. 15) and the conventional cell measures 11.435, 8.745 and 9.188 Å, with angles of 90.00, 122.55 and 90.00 degrees. The distinct sites, in fractional coordinates, are Ta at (0.139, 0.182, 0.307), Nb at (0.094, 0.329, 0.569), Nb at (0.159, 0.012, 0.582), Nb at (0.194, 0.354, 0.067), Sn at (0.000, 0.132, 0.750) and Sn at (0.000, 0.479, 0.250).

Its total moment is 0.00 μB per formula unit.

#b
DFT (PBE) results for an optimized crystal structure of TaNb3Sn.

The space group is C2/m (No. 12) and the conventional cell measures 14.540, 4.677 and 5.882 Å, with angles of 90.00, 108.09 and 90.00 degrees. The distinct sites, in fractional coordinates, are Ta at (0.207, 0.000, 0.304), Nb at (0.103, 0.500, 0.386), Nb at (0.106, 0.500, 0.890), Nb at (0.205, 0.000, 0.800), Sn at (0.000, 0.000, 0.000) and Sn at (0.000, 0.000, 0.500).

Its total moment is 0.00 μB per formula unit.

#c
DFT (PBE) results for an optimized crystal structure of TaNb3Sn.

The space group is Pm-3m (No. 221) and the conventional cell measures 4.910, 4.910 and 4.910 Å, with angles of 90.00, 90.00 and 90.00 degrees. The distinct sites, in fractional coordinates, are Ta at (0.000, 0.000, 0.000), Nb at (0.000, 0.000, 0.500) and Sn at (0.500, 0.500, 0.500).

Its total moment is 0.00 μB per formula unit.

#d
DFT (PBE) results for an optimized crystal structure of TaNb3Sn.

The space group is Pm-3m (No. 221) and the conventional cell measures 4.959, 4.959 and 4.959 Å, with angles of 90.00, 90.00 and 90.00 degrees. The distinct sites, in fractional coordinates, are Ta at (0.000, 0.000, 0.000), Nb at (0.000, 0.500, 0.500) and Sn at (0.500, 0.500, 0.500).

Its total moment is 0.00 μB per formula unit.

Which structure wins on stability? #b wins.

#a
DFT (PBE) results for an optimized crystal structure of TaTiNbSn.

The space group is F-43m (No. 216) and the conventional cell measures 6.656, 6.656 and 6.656 Å, with angles of 90.00, 90.00 and 90.00 degrees. The distinct sites, in fractional coordinates, are Ta at (0.000, 0.000, 0.000), Ti at (0.250, 0.250, 0.750), Nb at (0.250, 0.250, 0.250) and Sn at (0.000, 0.000, 0.500).

Its total moment is 0.00 μB per formula unit.

#b
DFT (PBE) results for an optimized crystal structure of TaTiNbSn.

The space group is Amm2 (No. 38) and the conventional cell measures 4.566, 3.212 and 10.547 Å, with angles of 90.00, 90.00 and 90.00 degrees. The distinct sites, in fractional coordinates, are Ta at (0.000, 0.000, 0.000), Ti at (0.000, 0.000, 0.252), Nb at (0.500, 0.000, 0.553) and Sn at (0.500, 0.000, 0.821).

Its total moment is 0.00 μB per formula unit.

Which structure wins on stability? #a wins.

#a
DFT (PBE) results for an optimized crystal structure of TbNbSn2.

The space group is P4/mmm (No. 123) and the conventional cell measures 3.730, 3.730 and 6.722 Å, with angles of 90.00, 90.00 and 90.00 degrees. The distinct sites, in fractional coordinates, are Tb at (0.000, 0.000, 0.000), Nb at (0.000, 0.000, 0.500) and Sn at (0.500, 0.500, 0.283).

Its total moment is 0.05 μB per formula unit.

#b
DFT (PBE) results for an optimized crystal structure of TbNbSn2.

The space group is R-3m (No. 166, hexagonal axes) and the conventional cell measures 3.2089, 3.2089 and 33.7331 Å, with angles of 90.00, 90.00 and 120.00 degrees. The distinct sites, in fractional coordinates, are Tb at (0.0000, 0.0000, 0.0000), Nb at (0.0000, 0.0000, 0.5000) and Sn at (0.0000, 0.0000, 0.4154).

Its total moment is 0.00 μB per formula unit.

Which structure wins on stability? #a wins.

#a
DFT (PBE) results for an optimized crystal structure of NbTc3Sn.

The space group is Pm-3m (No. 221) and the conventional cell measures 4.761, 4.761 and 4.761 Å, with angles of 90.00, 90.00 and 90.00 degrees. The distinct sites, in fractional coordinates, are Nb at (0.000, 0.000, 0.000), Tc at (0.000, 0.000, 0.500) and Sn at (0.500, 0.500, 0.500).

Its total moment is 2.75 μB per formula unit.

#b
DFT (PBE) results for an optimized crystal structure of NbTc3Sn.

The space group is Pm-3m (No. 221) and the conventional cell measures 4.742, 4.742 and 4.742 Å, with angles of 90.00, 90.00 and 90.00 degrees. The distinct sites, in fractional coordinates, are Nb at (0.000, 0.000, 0.000), Tc at (0.000, 0.500, 0.500) and Sn at (0.500, 0.500, 0.500).

Its total moment is 0.42 μB per formula unit.

Which structure wins on stability? #a wins.